Entry 1:
# SnIrF2

SnIrF2 after structural relaxation (PBE, Alexandria).

Cell lengths 8.5433, 8.5433, 8.5433 Å; angles 154.03, 154.03, 37.06 degrees
With the nearest neighbours (Å) after each atom.
Element x y z (fractional)
1 Sn 0.0000 0.0000 0.0000  4 F 2.47, 4 Ir 2.71
2 Sn 0.7500 0.2500 0.5000  4 F 2.47, 4 Ir 2.71
3 Ir 0.2500 0.7500 0.5000  4 F 2.41
4 Ir 0.5000 0.5000 0.0000  4 F 2.41
5 F 0.1445 0.6250 0.0195  2 Ir 2.41, 2 Sn 2.47, 2 F 2.61
6 F 0.3750 0.3945 0.5195  2 Ir 2.41, 2 Sn 2.47, 2 F 2.61
7 F 0.6055 0.1250 0.9805  2 Ir 2.41, 2 Sn 2.47, 2 F 2.61
8 F 0.8750 0.8555 0.4805  2 Ir 2.41, 2 Sn 2.47, 2 F 2.61

Values from the calculation:
Space-group type: I-42d, No. 122

Entry 2:
# SnIrF2

SnIrF2 after structural relaxation (PBE, Alexandria).

Cell lengths 4.3919, 4.3919, 4.3919 Å; angles 60.00, 60.00, 60.00 degrees
With the nearest neighbours (Å) after each atom.
Element x y z (fractional)
1 Sn 0.0000 0.0000 0.0000  8 F 2.69
2 Ir 0.5000 0.5000 0.5000  8 F 2.69
3 F 0.2500 0.2500 0.2500  4 Sn 2.69, 4 Ir 2.69
4 F 0.7500 0.7500 0.7500  4 Sn 2.69, 4 Ir 2.69

Values from the calculation:
Space-group type: Fm-3m, No. 225

Entry 3:
# SnIrF2

SnIrF2 after structural relaxation (PBE, Alexandria).

Cell lengths 9.0594, 9.0594, 9.0594 Å; angles 18.34, 18.34, 18.34 degrees
With the nearest neighbours (Å) after each atom.
Element x y z (fractional)
1 Sn 0.0000 0.0000 0.0000  2 F 2.05
2 Ir 0.5000 0.5000 0.5000  6 Ir 2.89, 6 F 2.93
3 F 0.0767 0.0767 0.0767  1 Sn 2.05
4 F 0.9233 0.9233 0.9233  1 Sn 2.05

Values from the calculation:
Space-group type: R-3m, No. 166

Entry 4:
# TcSnIrF2

TcSnIrF2 after structural relaxation (PBE, Alexandria).

Cell lengths 3.9310, 3.9310, 5.8222 Å; angles 90.00, 90.00, 90.00 degrees
With the nearest neighbours (Å) after each atom.
Element x y z (fractional)
1 Tc 0.0000 0.0000 0.0000  4 Ir 2.78, 2 Sn 2.91
2 Sn 0.0000 0.0000 0.5000  4 F 1.97
3 Ir 0.5000 0.5000 0.0000  4 Tc 2.78
4 F 0.0000 0.5000 0.5000  2 Sn 1.97
5 F 0.5000 0.0000 0.5000  2 Sn 1.97

Values from the calculation:
Space-group type: P4/mmm, No. 123

Number 1: formation energy without anion corrections -695 meV per atom. Number 2: formation energy without anion corrections -198 meV per atom. Number 3: formation energy without anion corrections -392 meV per atom. Number 4: formation energy without anion corrections 20 meV per atom.